Entry 1:
Here is a geometry-optimized AcNd4Y10 structure from the Alexandria database. Energies are from GGA-PBE.

Cell and atoms, written as POSCAR:
```
AcNd4Y10
1.0
6.085 0.000 2.748
3.043 9.168 1.374
-0.730 0.000 9.730
Ac Nd Y
1 4 10
Direct
0.000 0.000 0.000
0.433 0.892 0.242
0.675 0.758 0.892
0.325 0.242 0.108
0.567 0.108 0.758
0.250 0.500 0.500
0.619 0.425 0.836
0.956 0.164 0.425
0.546 0.836 0.575
0.880 0.575 0.164
0.381 0.575 0.164
0.750 0.500 0.500
0.120 0.425 0.836
0.454 0.164 0.425
0.044 0.836 0.575
```

VASP energy = -0.1960 hartree per atom
energy of formation = 522 meV per atom
space group = I4/m (87)
Fermi-level density of states = 1.98 states/eV/atom

***

Entry 2:
Here is a geometry-optimized Ac5Nd2Y5 structure from the Alexandria database. Energies are from GGA-PBE.

Cell and atoms, written as POSCAR:
```
Ac5Nd2Y5
1.0
-2.452 4.433 -1.625
-6.966 1.014 4.568
2.416 7.507 8.126
Ac Nd Y
5 2 5
Direct
0.838 0.827 0.497
0.252 0.741 0.754
0.748 0.259 0.246
0.162 0.173 0.503
0.000 0.000 0.000
0.917 0.409 0.756
0.083 0.591 0.244
0.500 0.500 0.500
0.332 0.335 0.001
0.421 0.910 0.248
0.579 0.090 0.752
0.668 0.665 0.999
```

VASP energy = -0.1894 hartree per atom
energy of formation = 46 meV per atom
space group = C2/m (12)
Fermi-level density of states = 1.51 states/eV/atom

***

Entry 3:
Here is a geometry-optimized Ac12Nd3Y structure from the Alexandria database. Energies are from GGA-PBE.

Cell and atoms, written as POSCAR:
```
Ac12Nd3Y
1.0
-0.228 -2.928 -4.688
4.952 1.977 -1.476
9.804 -16.989 10.135
Ac Nd Y
12 3 1
Direct
0.500 0.500 0.000
0.500 0.500 0.249
0.500 0.500 0.500
0.500 0.500 0.751
0.500 0.000 0.124
0.500 0.000 0.374
0.500 0.000 0.626
0.500 0.000 0.876
0.000 0.500 0.124
0.000 0.500 0.374
0.000 0.500 0.626
0.000 0.500 0.876
0.000 0.000 0.249
0.000 0.000 0.500
0.000 0.000 0.751
0.000 0.000 0.000
```

VASP energy = -0.1601 hartree per atom
energy of formation = 24 meV per atom
space group = P4/mmm (123)
Fermi-level density of states = 1.67 states/eV/atom

***

Entry 4:
Here is a geometry-optimized Ac8Nd2Y structure from the Alexandria database. Energies are from GGA-PBE.

Cell and atoms, written as POSCAR:
```
Ac8Nd2Y
1.0
-4.385 -3.325 -0.811
-0.282 2.415 -8.369
8.139 -6.231 0.653
Ac Nd Y
8 2 1
Direct
0.681 0.914 0.363
0.407 0.548 0.814
0.138 0.187 0.275
0.953 0.271 0.906
0.862 0.813 0.725
0.593 0.452 0.186
0.319 0.086 0.637
0.047 0.729 0.094
0.226 0.634 0.453
0.774 0.366 0.547
0.500 0.000 0.000
```

VASP energy = -0.1620 hartree per atom
energy of formation = 34 meV per atom
distance to the lowest polymorph of the same formula = 0.0 kJ per mole of atoms
space group = C2/m (12)
Fermi-level density of states = 1.78 states/eV/atom